[1]
Density functional theory data (PBE) for crystalline KNd2Pt at its relaxed geometry.

Computed properties:
total energy = -18.34 eV/f.u.
volume = 180.9 Å³/f.u.
energy relative to the elements = -0.416 eV per atom
M_tot = 0.0 μB/f.u.
space-group type = R-3m (166)

abc: 4.2961 4.2961 11.5879
angles: 79.32 79.32 60.00
With the nearest neighbours (Å) after each atom.
Fractional positions:
K  0.0000  0.0000  0.0000  2 Nd 4.20, 6 K 4.30
Nd  0.1236  0.1236  0.6291  3 Pt 2.88
Nd  0.8764  0.8764  0.3709  3 Pt 2.88
Pt  0.5000  0.5000  0.5000  6 Nd 2.88



[2]
Density functional theory data (PBE) for crystalline KNdPt10 at its relaxed geometry.

Computed properties:
total energy = -71.32 eV/f.u.
volume = 227.2 Å³/f.u.
energy relative to the elements = -0.421 eV per atom
M_tot = 0.0 μB/f.u.
space-group type = Pmmm (47)

abc: 4.3903 5.4918 9.4251
angles: 90.00 90.00 90.00
With the nearest neighbours (Å) after each atom.
Fractional positions:
K  0.0000  0.0000  0.0000  10 Pt 3.17-3.52
Nd  0.0000  0.5000  0.5000  14 Pt 3.12-3.46
Pt  0.0000  0.0000  0.3358  6 Pt 2.69-2.71
Pt  0.0000  0.5000  0.8307  6 Pt 2.70-2.71
Pt  0.0000  0.5000  0.1693  6 Pt 2.70-2.71
Pt  0.0000  0.0000  0.6642  6 Pt 2.69-2.71
Pt  0.5000  0.0000  0.5000  8 Pt 2.69
Pt  0.5000  0.5000  0.0000  8 Pt 2.71-2.76
Pt  0.5000  0.2536  0.2557  8 Pt 2.69-2.79
Pt  0.5000  0.7464  0.7443  8 Pt 2.69-2.79
Pt  0.5000  0.7464  0.2557  8 Pt 2.69-2.79
Pt  0.5000  0.2536  0.7443  8 Pt 2.69-2.79



[3]
Density functional theory data (PBE) for crystalline KNdPt at its relaxed geometry.

Computed properties:
total energy = -13.82 eV/f.u.
volume = 116.7 Å³/f.u.
energy relative to the elements = -0.639 eV per atom
M_tot = 0.0 μB/f.u.
space-group type = C2/m (12)

abc: 4.1697 4.1697 14.6131
angles: 73.74 73.74 89.99
With the nearest neighbours (Å) after each atom.
Fractional positions:
K  0.2684  0.2684  0.0113  1 Pt 3.21
K  0.4846  0.4846  0.2960  1 Pt 3.21
Pt  0.2428  0.2428  0.5354  5 Nd 2.88-2.96, 1 K 3.21
Pt  0.5104  0.5104  0.7720  5 Nd 2.88-2.96, 1 K 3.21
Nd  0.0321  0.0321  0.7499  5 Pt 2.88-2.96
Nd  0.7212  0.7212  0.5574  5 Pt 2.88-2.96